Record 1
# K4Tm3ZrTe8

K4Tm3ZrTe8 after structural relaxation (PBE-GGA, Alexandria).

abc: 8.790 9.692 8.791
angles: 116.98 120.00 90.00
Last column: magnetic moment on the atom in μB.
Fractional positions:
Tm 0.500 0.500 0.000  0.03
Tm 0.000 0.500 0.500  0.03
Tm 0.500 0.500 0.500  0.03
K 0.000 0.000 0.500  0.00
K 0.000 0.000 0.000  0.00
K 0.500 0.000 0.500  0.00
K 0.500 0.000 0.000  0.00
Te 0.231 0.705 0.973  -0.01
Te 0.736 0.708 0.472  0.00
Te 0.258 0.295 0.027  -0.01
Te 0.769 0.295 0.027  -0.01
Te 0.231 0.705 0.462  -0.01
Te 0.769 0.295 0.538  -0.01
Te 0.742 0.705 0.973  -0.01
Te 0.264 0.292 0.528  0.00
Zr 0.000 0.500 0.000  0.47

Calculated values
Calculated total energy (eV for the cell shown): -71.54
Crystal system: trigonal
Space group: No. 166

=====

Record 2
# K3Tm2ZrTe6

K3Tm2ZrTe6 after structural relaxation (PBE-GGA, Alexandria).

abc: 7.580 7.580 8.646
angles: 98.41 98.41 120.01
Last column: magnetic moment on the atom in μB.
Fractional positions:
K 0.169 0.831 0.500  0.00
K 0.831 0.169 0.500  0.00
K 0.500 0.500 0.500  0.00
Te 0.068 0.394 0.205  -0.01
Te 0.394 0.068 0.205  -0.01
Te 0.257 0.257 0.794  -0.01
Te 0.932 0.606 0.795  -0.01
Te 0.606 0.932 0.795  -0.01
Te 0.743 0.743 0.206  -0.01
Tm 0.666 0.334 0.000  0.05
Tm 0.334 0.666 0.000  0.05
Zr 0.000 0.000 0.000  0.45

Calculated values
Calculated total energy (eV for the cell shown): -54.19
Crystal system: monoclinic
Space group: No. 12

=====

Record 3
# K2TmZrTe4

K2TmZrTe4 after structural relaxation (PBE-GGA, Alexandria).

abc: 4.293 7.516 8.669
angles: 106.45 90.00 90.00
Fractional positions:
Tm 0.000 0.000 0.000
Te 0.000 0.727 0.204
Te 0.500 0.243 0.207
Te 0.000 0.273 0.796
Te 0.500 0.757 0.793
Zr 0.500 0.500 0.000
K 0.000 0.500 0.500
K 0.500 0.000 0.500

Calculated values
Calculated total energy (eV for the cell shown): -36.97
Crystal system: monoclinic
Space group: No. 10

=====

Record 4
# K2Tm2ZrTe6

K2Tm2ZrTe6 after structural relaxation (PBE-GGA, Alexandria).

abc: 7.444 7.444 8.842
angles: 98.34 98.34 119.77
Fractional positions:
Te 0.927 0.607 0.297
Te 0.607 0.927 0.297
Te 0.255 0.255 0.299
Te 0.393 0.073 0.703
Te 0.073 0.393 0.703
Te 0.745 0.745 0.701
Tm 0.332 0.668 0.500
Tm 0.668 0.332 0.500
K 0.831 0.169 0.000
K 0.169 0.831 0.000
Zr 0.000 0.000 0.500

Calculated values
Calculated total energy (eV for the cell shown): -51.99
Crystal system: monoclinic
Space group: No. 12

=====

Record 5
# K3UTe3

K3UTe3 after structural relaxation (PBE-GGA, Alexandria).

abc: 8.635 8.635 9.306
angles: 100.16 100.16 112.85
Fractional positions:
Te 0.171 0.171 0.811
Te 0.130 0.439 0.282
Te 0.829 0.829 0.189
Te 0.561 0.870 0.718
Te 0.870 0.561 0.718
Te 0.439 0.130 0.282
K 0.288 0.712 0.000
K 0.831 0.169 0.500
K 0.712 0.288 0.000
K 0.596 0.596 0.385
K 0.169 0.831 0.500
K 0.404 0.404 0.615
U 0.891 0.891 0.893
U 0.109 0.109 0.107

Calculated values
Calculated total energy (eV for the cell shown): -59.93
Crystal system: monoclinic
Space group: No. 12

=====

Record 6
# K2UTe4

K2UTe4 after structural relaxation (PBE-GGA, Alexandria).

abc: 5.852 5.852 9.782
angles: 107.41 107.41 90.00
Last column: magnetic moment on the atom in μB.
Fractional positions:
Te 0.000 0.500 0.000  -0.09
Te 0.500 0.000 0.000  -0.09
Te 0.839 0.839 0.678  -0.09
Te 0.161 0.161 0.322  -0.09
U 0.000 0.000 0.000  0.71
K 0.640 0.640 0.279  0.00
K 0.360 0.360 0.721  0.00

Calculated values
Calculated total energy (eV for the cell shown): -31.24
Crystal system: tetragonal
Space group: No. 139

=====

Record 7
# K2U3Te6

K2U3Te6 after structural relaxation (PBE-GGA, Alexandria).

abc: 7.648 7.648 8.874
angles: 81.73 73.28 60.00
Last column: magnetic moment on the atom in μB.
Fractional positions:
Te 0.266 0.000 0.208  -0.07
Te 0.597 0.331 0.209  -0.07
Te 0.403 0.669 0.791  -0.07
Te 0.072 0.331 0.791  -0.07
Te 0.734 0.000 0.792  -0.07
Te 0.928 0.669 0.209  -0.07
K 0.167 0.667 0.500  0.00
K 0.833 0.333 0.500  0.00
U 0.000 0.000 0.000  2.59
U 0.667 0.665 0.000  2.59
U 0.333 0.335 0.000  2.59

Calculated values
Calculated total energy (eV for the cell shown): -63.84
Crystal system: monoclinic
Space group: No. 12

=====

Record 8
# K2UTe5

K2UTe5 after structural relaxation (PBE-GGA, Alexandria).

abc: 6.849 8.793 8.030
angles: 123.19 115.24 90.01
Last column: magnetic moment on the atom in μB.
Fractional positions:
K 0.774 0.274 0.547  0.00
K 0.239 0.739 0.478  0.00
Te 0.282 0.260 0.020  -0.02
Te 0.739 0.260 0.020  -0.02
Te 0.282 0.761 0.020  -0.02
Te 0.739 0.761 0.020  -0.02
Te 0.741 0.741 0.483  -0.08
U 0.982 0.983 0.965  0.82

Calculated values
Calculated total energy (eV for the cell shown): -33.11
Crystal system: orthorhombic
Space group: No. 44

=====

Record 9
# K2U2Te5

K2U2Te5 after structural relaxation (PBE-GGA, Alexandria).

abc: 8.421 8.410 9.647
angles: 115.84 90.00 90.00
Last column: magnetic moment on the atom in μB.
Fractional positions:
Te 0.648 0.263 0.231  -0.10
Te 0.148 0.468 0.231  -0.10
Te 0.000 0.000 0.000  -0.14
Te 0.352 0.737 0.769  -0.10
Te 0.852 0.532 0.769  -0.10
Te 0.500 0.500 0.000  -0.14
Te 0.648 0.032 0.769  -0.10
Te 0.852 0.763 0.231  -0.10
Te 0.148 0.237 0.769  -0.10
Te 0.352 0.968 0.231  -0.10
K 0.000 0.795 0.591  0.00
K 0.500 0.295 0.591  0.00
K 0.000 0.205 0.409  0.00
K 0.500 0.705 0.409  0.00
U 0.347 0.153 0.000  2.25
U 0.653 0.847 0.000  2.25
U 0.153 0.653 0.000  2.25
U 0.847 0.347 0.000  2.25

Calculated values
Calculated total energy (eV for the cell shown): -96.03
Crystal system: orthorhombic
Space group: No. 64

=====

Record 10
# K5UTe4

K5UTe4 after structural relaxation (PBE-GGA, Alexandria).

abc: 5.050 9.084 10.810
angles: 114.35 103.51 90.00
Last column: magnetic moment on the atom in μB.
Fractional positions:
K 0.500 0.500 0.000  0.00
K 0.825 0.072 0.651  0.00
K 0.174 0.425 0.348  0.00
K 0.175 0.928 0.349  0.00
K 0.826 0.575 0.652  0.00
Te 0.324 0.822 0.648  -0.01
Te 0.000 0.770 0.000  -0.03
Te 0.000 0.230 0.000  -0.03
Te 0.676 0.178 0.352  -0.01
U 0.500 0.000 0.000  2.92

Calculated values
Calculated total energy (eV for the cell shown): -37.75
Crystal system: monoclinic
Space group: No. 12

=====

Record 11
# K3U3VTe8

K3U3VTe8 after structural relaxation (PBE-GGA, Alexandria).

abc: 8.704 8.703 9.881
angles: 116.12 89.99 120.01
Last column: magnetic moment on the atom in μB.
Fractional positions:
Te 0.262 0.524 0.287  -0.06
Te 0.738 0.476 0.713  -0.06
Te 0.752 0.974 0.697  -0.09
Te 0.777 0.554 0.303  -0.09
Te 0.248 0.026 0.303  -0.09
Te 0.223 0.446 0.697  -0.09
Te 0.777 0.026 0.303  -0.09
Te 0.223 0.974 0.697  -0.09
K 0.500 0.500 0.000  0.00
K 0.000 0.500 0.000  0.00
K 0.000 0.000 0.000  0.00
U 0.500 0.500 0.500  2.50
U 0.000 0.500 0.500  2.50
U 0.500 0.000 0.500  2.51
V 0.000 0.000 0.500  2.31

Calculated values
Calculated total energy (eV for the cell shown): -82.73
Crystal system: trigonal
Space group: No. 166

=====

Record 12
# K2U2VTe6

K2U2VTe6 after structural relaxation (PBE-GGA, Alexandria).

abc: 7.383 7.383 8.902
angles: 98.49 98.49 119.72
Last column: magnetic moment on the atom in μB.
Fractional positions:
Te 0.243 0.243 0.300  -0.09
Te 0.385 0.075 0.702  -0.09
Te 0.615 0.925 0.298  -0.09
Te 0.757 0.757 0.700  -0.09
Te 0.075 0.385 0.702  -0.09
Te 0.925 0.615 0.298  -0.09
U 0.668 0.332 0.500  2.37
U 0.332 0.668 0.500  2.37
K 0.173 0.827 0.000  0.00
K 0.827 0.173 0.000  0.00
V 0.000 0.000 0.500  2.26

Calculated values
Calculated total energy (eV for the cell shown): -60.69
Crystal system: monoclinic
Space group: No. 12

=====

Record 13
# K4U3VTe8

K4U3VTe8 after structural relaxation (PBE-GGA, Alexandria).

abc: 8.818 9.763 8.830
angles: 117.00 119.96 90.00
Last column: magnetic moment on the atom in μB.
Fractional positions:
Te 0.226 0.704 0.453  -0.07
Te 0.774 0.297 0.023  -0.07
Te 0.739 0.716 0.477  -0.06
Te 0.261 0.284 0.523  -0.06
Te 0.774 0.296 0.547  -0.07
Te 0.249 0.297 0.023  -0.07
Te 0.751 0.703 0.977  -0.07
Te 0.226 0.703 0.977  -0.07
U 0.500 0.500 0.000  2.63
U 0.500 0.500 0.500  2.65
U 0.000 0.500 0.500  2.65
K 0.500 0.000 0.500  0.00
K 0.000 0.000 0.500  0.00
K 0.000 0.000 0.000  0.00
K 0.500 0.000 0.000  0.00
V 0.000 0.500 0.000  2.50

Calculated values
Calculated total energy (eV for the cell shown): -85.08
Crystal system: monoclinic
Space group: No. 12

=====

Record 14
# K2Y2UTe6

K2Y2UTe6 after structural relaxation (PBE-GGA, Alexandria).

abc: 7.673 7.673 8.823
angles: 98.43 98.43 119.90
Last column: magnetic moment on the atom in μB.
Fractional positions:
Y 0.668 0.332 0.500  0.01
Y 0.332 0.668 0.500  0.01
Te 0.401 0.072 0.707  -0.03
Te 0.738 0.738 0.705  -0.04
Te 0.072 0.401 0.707  -0.03
Te 0.599 0.928 0.293  -0.03
Te 0.262 0.262 0.295  -0.04
Te 0.928 0.599 0.293  -0.03
K 0.168 0.832 0.000  0.00
K 0.832 0.168 0.000  0.00
U 0.000 0.000 0.500  2.19

Calculated values
Calculated total energy (eV for the cell shown): -58.35
Crystal system: monoclinic
Space group: No. 12

=====

Record 15
# K3YU3Te8

K3YU3Te8 after structural relaxation (PBE-GGA, Alexandria).

abc: 8.985 8.945 9.853
angles: 116.94 90.11 119.92
Last column: magnetic moment on the atom in μB.
Fractional positions:
U 0.500 0.000 0.500  2.60
U 0.000 0.500 0.500  -2.54
U 0.500 0.500 0.500  2.57
Te 0.236 0.973 0.709  0.00
Te 0.737 0.475 0.712  -0.02
Te 0.236 0.472 0.708  0.00
Te 0.263 0.525 0.288  -0.02
Te 0.735 0.971 0.707  -0.05
Te 0.764 0.027 0.291  0.00
Te 0.764 0.528 0.292  0.00
Te 0.265 0.029 0.293  -0.05
K 0.500 0.500 0.000  0.00
K 0.000 0.500 0.000  0.00
K 0.000 0.000 0.000  0.00
Y 0.000 0.000 0.500  0.01

Calculated values
Calculated total energy (eV for the cell shown): -82.96
Crystal system: triclinic
Space group: No. 2

=====

Record 16
# K4Y3UTe8

K4Y3UTe8 after structural relaxation (PBE-GGA, Alexandria).

abc: 9.018 9.755 9.019
angles: 117.51 120.00 90.00
Last column: magnetic moment on the atom in μB.
Fractional positions:
U 0.000 0.500 0.000  2.73
Y 0.500 0.500 0.500  0.04
Y 0.500 0.500 0.000  0.04
Y 0.000 0.500 0.500  0.04
K 0.000 0.000 0.000  0.00
K 0.500 0.000 0.500  0.00
K 0.000 0.000 0.500  0.00
K 0.500 0.000 0.000  0.00
Te 0.238 0.710 0.476  -0.02
Te 0.238 0.710 0.972  -0.02
Te 0.736 0.709 0.473  0.00
Te 0.762 0.290 0.524  -0.02
Te 0.762 0.290 0.028  -0.02
Te 0.264 0.291 0.527  0.00
Te 0.733 0.710 0.972  -0.02
Te 0.267 0.290 0.028  -0.02

Calculated values
Calculated total energy (eV for the cell shown): -80.38
Crystal system: trigonal
Space group: No. 166

=====

Record 17
# K3Y3UTe8

K3Y3UTe8 after structural relaxation (PBE-GGA, Alexandria).

abc: 8.902 8.908 9.834
angles: 116.95 90.01 119.99
Last column: magnetic moment on the atom in μB.
Fractional positions:
K 0.000 0.500 0.000  0.00
K 0.000 0.000 0.000  0.00
K 0.500 0.500 0.000  0.00
Te 0.264 0.029 0.294  -0.04
Te 0.736 0.473 0.709  0.00
Te 0.765 0.530 0.294  -0.04
Te 0.235 0.971 0.706  -0.04
Te 0.264 0.527 0.291  0.00
Te 0.235 0.470 0.706  -0.04
Te 0.765 0.029 0.294  -0.04
Te 0.736 0.971 0.706  -0.04
U 0.000 0.000 0.500  2.20
Y 0.500 0.500 0.500  0.01
Y 0.000 0.500 0.500  0.01
Y 0.500 0.000 0.500  0.01

Calculated values
Calculated total energy (eV for the cell shown): -77.84
Crystal system: monoclinic
Space group: No. 12

=====

Record 18
# K3Y2UTe6

K3Y2UTe6 after structural relaxation (PBE-GGA, Alexandria).

abc: 7.826 7.826 8.662
angles: 98.65 98.65 120.01
Last column: magnetic moment on the atom in μB.
Fractional positions:
Te 0.930 0.592 0.789  -0.02
Te 0.408 0.070 0.211  -0.02
Te 0.592 0.930 0.789  -0.02
Te 0.267 0.267 0.790  -0.02
Te 0.070 0.408 0.211  -0.02
Te 0.733 0.733 0.210  -0.02
K 0.166 0.834 0.500  0.00
K 0.500 0.500 0.500  0.00
K 0.834 0.166 0.500  0.00
Y 0.667 0.333 0.000  0.04
Y 0.333 0.667 0.000  0.04
U 0.000 0.000 0.000  2.77

Calculated values
Calculated total energy (eV for the cell shown): -60.92
Crystal system: monoclinic
Space group: No. 12

=====

Record 19
# K2UZnTe5

K2UZnTe5 after structural relaxation (PBE-GGA, Alexandria).

abc: 4.304 10.777 15.001
angles: 90.00 90.00 101.52
Last column: magnetic moment on the atom in μB.
Fractional positions:
K 0.878 0.756 0.829  0.00
K 0.125 0.250 0.690  0.00
K 0.875 0.750 0.190  0.00
K 0.122 0.244 0.329  0.00
Te 0.059 0.118 0.034  -0.05
Te 0.941 0.882 0.534  -0.05
Te 0.507 0.014 0.780  -0.03
Te 0.699 0.398 0.157  -0.06
Te 0.493 0.986 0.280  -0.03
Te 0.302 0.604 0.378  -0.05
Te 0.698 0.396 0.878  -0.05
Te 0.334 0.668 0.010  -0.09
Te 0.666 0.332 0.510  -0.09
Te 0.301 0.602 0.657  -0.06
Zn 0.571 0.142 0.926  0.00
Zn 0.429 0.858 0.426  0.00
U 0.801 0.601 0.520  0.94
U 0.199 0.399 0.020  0.94

Calculated values
Calculated total energy (eV for the cell shown): -72.75
Crystal system: orthorhombic
Space group: No. 36

=====

Record 20
# KUZnTe3

KUZnTe3 after structural relaxation (PBE-GGA, Alexandria).

abc: 4.395 9.752 10.540
angles: 108.89 90.00 90.00
Last column: magnetic moment on the atom in μB.
Fractional positions:
Te 0.250 0.100 0.866  -0.04
Te 0.750 0.900 0.134  -0.04
Te 0.750 0.206 0.535  -0.01
Te 0.250 0.541 0.829  -0.06
Te 0.750 0.459 0.171  -0.06
Te 0.250 0.794 0.465  -0.01
Zn 0.250 0.088 0.612  0.01
Zn 0.750 0.912 0.388  0.01
K 0.750 0.791 0.759  0.00
K 0.250 0.209 0.241  0.00
U 0.750 0.330 0.861  2.77
U 0.250 0.670 0.139  2.77

Calculated values
Calculated total energy (eV for the cell shown): -54.41
Crystal system: monoclinic
Space group: No. 11

=====

no.,uncorrected formation energy (eV/atom),volume (Å³ per cell)
1,-1.2536,552.5
2,-1.2127,411.4
3,-1.1480,268.3
4,-1.2226,407.1
5,-0.8514,606.1
6,-0.7413,303.6
7,-0.8115,430.5
8,-0.4893,348.2
9,-0.8374,614.8
10,-0.8412,436.7
11,-0.7550,558.2
12,-0.7223,402.8
13,-0.7856,560.9
14,-1.1899,430.6
15,-0.9471,584.6
16,-1.2607,581.2
17,-1.2489,575.5
18,-1.2134,438.1
19,-0.6566,681.8
20,-0.6864,427.4